[1]
! NbBi2SbI, relaxed, DFT GGA-PBE; values from VASP
&SYSTEM
  ibrav = 0, nat = 5, ntyp = 4
/
ATOMIC_SPECIES
I 126.90 I.upf
Sb 121.76 Sb.upf
Nb 92.91 Nb.upf
Bi 208.98 Bi.upf
ATOMIC_POSITIONS crystal
I 0.000 0.000 0.000
Sb 0.500 0.500 0.500
Nb 0.000 0.500 0.000
Bi 0.000 0.000 0.500
Bi 0.500 0.000 0.000
CELL_PARAMETERS angstrom
-0.434 1.458 -5.771
4.122 -2.844 -1.028
-3.504 -4.740 -0.934
! symmetry = P4/mmm (123)
! E = -16.83 eV for the cell shown


[2]
! Ni2PtN, relaxed, DFT GGA-PBE; values from VASP
&SYSTEM
  ibrav = 0, nat = 8, ntyp = 3
/
ATOMIC_SPECIES
Ni 58.69 Ni.upf
Pt 195.08 Pt.upf
N 14.01 N.upf
ATOMIC_POSITIONS crystal
Ni 0.511 0.125 0.250
Ni 0.239 0.625 0.250
Ni 0.375 0.489 0.750
Ni 0.875 0.761 0.750
Pt 0.000 0.000 0.000
Pt 0.750 0.250 0.500
N 0.500 0.500 0.000
N 0.250 0.750 0.500
CELL_PARAMETERS angstrom
5.770 0.000 0.000
0.000 5.770 0.000
2.885 2.885 2.870
! symmetry = I-42d (122)
! E = -49.51 eV for the cell shown